1.
Tl2BiSb2 PBE relaxed; formation energy without anion corrections = 0.023 eV per atom; relative energy among the computed polymorphs = 0 meV per atom; space-group type = C2/m, No. 12; energy = -0.24609 Ry/atom
1.0
-5.563 -0.576 0.357
-2.652 -4.219 -4.147
-1.689 -5.358 9.032
Sb Bi Tl
4 2 4
Cartesian
-2.619 -1.736 0.383
-7.286 -8.417 4.858
-2.116 -4.374 3.963
-7.788 -5.780 1.278
-4.797 -4.557 5.876
-5.107 -5.597 -0.635
-2.641 -3.360 -2.589
-7.263 -6.794 7.830
-5.161 -3.359 2.132
-4.743 -6.794 3.109

2.
Pr4AlPd PBE relaxed; space-group type = Cmc2_1, No. 36; calculated formation energy = -211 meV per atom; energy = -0.35915 Ry/atom
1.0
-3.650 4.080 0.371
-3.553 -3.558 4.170
7.320 2.128 8.052
Pr Pd Al
8 2 2
Cartesian
2.966 2.202 4.962
-1.649 -1.943 5.144
-1.458 1.839 5.999
-2.440 1.275 2.548
0.057 3.405 3.692
1.324 0.510 7.418
1.397 4.223 7.882
1.876 0.692 10.845
3.443 2.319 8.379
-3.957 -0.302 4.955
0.590 0.171 3.928
-0.973 1.977 9.254

3.
Ac5Dy2Te12 PBE relaxed; formation energy without anion corrections = -1.316 eV per atom; space-group type = C2/m, No. 12; energy = -0.35764 Ry/atom
1.0
-6.059 -6.110 -0.420
3.075 2.401 9.060
-7.209 7.271 -1.795
Te Ac Dy
12 5 2
Cartesian
-5.563 2.367 1.502
-4.577 -1.508 -0.388
-8.584 -0.679 1.292
-8.199 4.753 3.918
-4.629 1.195 5.344
-5.615 5.070 7.233
-1.480 1.447 0.290
-5.093 -4.317 2.712
-5.099 7.879 4.133
-1.609 4.241 5.553
-8.713 2.115 6.555
-1.994 -1.190 2.927
-3.604 3.636 -0.897
-1.341 0.958 5.406
-8.851 2.604 1.439
-4.675 4.358 4.038
-5.517 -0.796 2.807
-4.531 -4.570 -0.314
-1.528 -1.541 -0.106

4.
Sm2Dy5Ni2 PBE relaxed; space-group type = Cmce, No. 64; calculated formation energy = -136 meV per atom; energy = -0.36943 Ry/atom
1.0
6.576 0.000 2.387
0.000 6.976 0.000
-0.143 0.000 10.647
Sm Ni Dy
4 4 10
Cartesian
4.732 3.488 7.467
1.701 3.488 5.567
1.444 0.000 6.274
4.989 0.000 6.760
5.778 4.333 2.097
4.087 0.845 1.484
2.489 6.131 0.904
0.799 2.643 0.290
0.422 4.699 2.454
3.710 5.766 3.648
3.288 3.488 1.194
0.000 0.000 0.000
5.043 5.766 10.228
6.011 2.278 10.580
4.679 2.278 4.000
2.723 1.210 9.386
1.390 1.210 2.806
1.754 4.699 9.034

5.
CePr4Dy2 PBE relaxed; space-group type = P-1, No. 2; calculated formation energy = 58 meV per atom; energy = -0.35544 Ry/atom
1.0
-1.482 -1.013 6.052
-6.002 -1.372 -3.884
2.470 -10.632 -0.046
Pr Dy Ce
8 4 2
Cartesian
-0.577 -4.605 -0.386
-3.165 -2.068 -0.603
-2.743 -11.983 2.242
-0.226 -1.366 1.343
-0.011 -6.335 2.776
-3.361 -10.188 -0.863
-3.519 -5.303 -2.335
-5.395 -9.501 1.995
-5.614 -4.527 0.588
-2.390 -8.808 3.961
-0.366 -9.506 1.053
-2.612 -3.843 2.532
-2.980 -7.000 0.831
0.224 -11.314 4.183

6.
Sr3ScBi3 PBE relaxed; space-group type = C2/m, No. 12; calculated formation energy = -781 meV per atom; energy = -0.29910 Ry/atom
1.0
8.531 0.265 0.045
-3.563 7.756 0.045
-0.697 -1.125 8.289
Bi Sr Sc
6 6 2
Cartesian
3.394 0.994 2.402
-0.622 3.481 2.402
4.893 3.415 5.976
-0.030 -0.048 6.621
4.301 6.944 1.757
0.878 5.902 5.976
-0.830 6.063 0.045
6.190 0.937 4.189
5.798 1.958 0.045
2.738 4.421 2.913
-1.919 5.959 4.189
1.533 2.475 5.465
0.830 1.341 1.225
3.441 5.555 7.154